## VSb2O5 (GGA+U)

Data for a geometry-optimized VSb2O5 structure.

For the calculated total energy, the calculation gives -6.638 eV/atom.

```
data_VSb2O5
_chemical_formula_sum 'V4 Sb8 O20'
_space_group_name_H-M_alt 'C 1 2/c 1'
_space_group_IT_number 15
_space_group_name_Hall '-C 2yc'
_cell_length_a 18.156
_cell_length_b 5.114
_cell_length_c 5.588
_cell_angle_alpha 90.00
_cell_angle_beta 94.78
_cell_angle_gamma 90.00
loop_
_atom_site_label
_atom_site_type_symbol
_atom_site_fract_x
_atom_site_fract_y
_atom_site_fract_z
V1 V 0.000 0.129 0.250
Sb1 Sb 0.162 0.208 0.655
O1 O 0.000 0.450 0.250
O2 O 0.071 0.001 0.022
O3 O 0.207 0.094 0.351
```